(1)
# CsBa8Pd2

A relaxed CsBa8Pd2 crystal (GGA-PBE, the Alexandria database).

Output
- energy of formation from the pure elements (eV per atom) = -0.16
- DOS(E_F) (states/eV/atom) = 0.942
- electronic total energy (eV/atom) = -2.577
- space group = C2/m, No. 12
- total moment (μB/f.u.) = 0.0

abc: 12.3479 12.3479 6.4873
angles: 103.35 103.35 44.66
Element x y z (fractional)
Cs1 0.0000 0.0000 0.0000
Ba1 0.1102 0.5819 0.5843
Ba2 0.2350 0.2350 0.9850
Ba3 0.4181 0.8898 0.4157
Ba4 0.4402 0.4402 0.1883
Ba5 0.5598 0.5598 0.8117
Ba6 0.5819 0.1102 0.5843
Ba7 0.7650 0.7650 0.0150
Ba8 0.8898 0.4181 0.4157
Pd1 0.2438 0.2438 0.4911
Pd2 0.7562 0.7562 0.5089

***

(2)
# Pr5NdAl3

A relaxed Pr5NdAl3 crystal (GGA-PBE, the Alexandria database).

Output
- energy of formation from the pure elements (eV per atom) = -0.21
- DOS(E_F) (states/eV/atom) = 1.291
- electronic total energy (eV/atom) = -4.645
- space group = P6_3/mcm, No. 193
- total moment (μB/f.u.) = 0.0

abc: 9.4000 9.4000 6.9404
angles: 90.00 90.00 120.00
Element x y z (fractional)
Pr1 0.0000 0.3343 0.2500
Pr2 0.0000 0.6657 0.7500
Pr3 0.3333 0.6667 0.0000
Pr4 0.3333 0.6667 0.5000
Pr5 0.3343 0.0000 0.2500
Pr6 0.3343 0.3343 0.7500
Pr7 0.6657 0.0000 0.7500
Pr8 0.6657 0.6657 0.2500
Pr9 0.6667 0.3333 0.0000
Pr10 0.6667 0.3333 0.5000
Nd1 0.0000 0.0000 0.0000
Nd2 0.0000 0.0000 0.5000
Al1 0.0000 0.3313 0.7500
Al2 0.0000 0.6687 0.2500
Al3 0.3313 0.0000 0.7500
Al4 0.3313 0.3313 0.2500
Al5 0.6687 0.0000 0.2500
Al6 0.6687 0.6687 0.7500

***

(3)
# K4Cu3Br12

A relaxed K4Cu3Br12 crystal (GGA-PBE, the Alexandria database).

Output
- DOS(E_F) (states/eV/atom) = 0.750
- electronic total energy (eV/atom) = -2.747
- space group = Im-3, No. 204
- formation energy from raw total energies (eV/atom) = -0.8129
- total moment (μB/f.u.) = 1.0

abc: 9.9668 9.9668 9.9668
angles: 109.47 109.47 109.47
Element x y z (fractional)
K1 0.0000 0.0000 0.5000
K2 0.0000 0.5000 0.0000
K3 0.5000 0.0000 0.0000
K4 0.5000 0.5000 0.5000
Cu1 0.0000 0.5000 0.5000
Cu2 0.5000 0.0000 0.5000
Cu3 0.5000 0.5000 0.0000
Br1 0.1452 0.4988 0.3536
Br2 0.1452 0.7917 0.6464
Br3 0.2083 0.3536 0.8548
Br4 0.3536 0.1452 0.4988
Br5 0.3536 0.8548 0.2083
Br6 0.4988 0.3536 0.1452
Br7 0.5012 0.6464 0.8548
Br8 0.6464 0.1452 0.7917
Br9 0.6464 0.8548 0.5012
Br10 0.7917 0.6464 0.1452
Br11 0.8548 0.2083 0.3536
Br12 0.8548 0.5012 0.6464

***

(4)
# AsSe2I

A relaxed AsSe2I crystal (GGA-PBE, the Alexandria database).

Output
- ΔE to the lowest computed polymorph (eV/atom) = 0.000
- electronic total energy (eV/atom) = -3.295
- space group = P2_1/c, No. 14
- formation energy from raw total energies (eV/atom) = -0.0029
- total moment (μB/f.u.) = 0.0

abc: 9.9621 9.5979 6.6423
angles: 90.00 93.64 90.00
Element x y z (fractional)
As1 0.1429 0.1607 0.3097
As2 0.1429 0.3393 0.8097
As3 0.8571 0.6607 0.1903
As4 0.8571 0.8393 0.6903
Se1 0.0044 0.1804 0.6104
Se2 0.0044 0.3196 0.1104
Se3 0.3388 0.1932 0.9538
Se4 0.3388 0.3068 0.4538
Se5 0.6612 0.6932 0.5462
Se6 0.6612 0.8068 0.0462
Se7 0.9956 0.6804 0.8896
Se8 0.9956 0.8196 0.3896
I1 0.3378 0.5206 0.2254
I2 0.3378 0.9794 0.7254
I3 0.6622 0.0206 0.2746
I4 0.6622 0.4794 0.7746

***

Q: Look up the electronic total energy of the fourth one.
A: -3.295 eV/atom

***

Q: Look up the total moment of the third one.
A: 1.0 μB/f.u.